Entry 1:
# AcCoBO4 | Alexandria via LeMat-Bulk | GGA+U | optimized geometry
data_AcCoBO4
_chemical_formula_sum 'Ac2 Co2 B2 O8'
_cell_length_a 6.426
_cell_length_b 6.426
_cell_length_c 6.426
_cell_angle_alpha 131.29
_cell_angle_beta 94.83
_cell_angle_gamma 104.83
_symmetry_space_group_name_H-M 'P 1'
_symmetry_Int_Tables_number 1
_symmetry_space_group_name_Hall 'P 1'
loop_
_atom_site_label
_atom_site_type_symbol
_atom_site_fract_x
_atom_site_fract_y
_atom_site_fract_z
Ac1 Ac 0.000 0.000 0.000
Ac2 Ac 0.500 0.000 0.500
Co1 Co 0.500 0.000 0.000
Co2 Co 0.500 0.500 0.500
B1 B 0.151 0.401 0.750
B2 B 0.849 0.599 0.250
O1 O 0.086 0.691 0.395
O2 O 0.204 0.309 0.895
O3 O 0.273 0.291 0.518
O4 O 0.273 0.755 0.982
O5 O 0.727 0.245 0.018
O6 O 0.727 0.709 0.482
O7 O 0.796 0.691 0.105
O8 O 0.914 0.309 0.605
# Electronic total energy ... -99.75 eV/cell
# N(E_F) ... 4.3 states/eV per cell
# Space-group type ... Imma, No. 74
# Calculated density ... 6.631 g cm⁻³
# M_tot ... 3.01 μB per formula unit

Entry 2:
# AcCo3B4O12 | Alexandria via LeMat-Bulk | GGA+U | optimized geometry
data_AcCo3B4O12
_chemical_formula_sum 'Ac1 Co3 B4 O12'
_cell_length_a 6.172
_cell_length_b 6.172
_cell_length_c 6.172
_cell_angle_alpha 103.52
_cell_angle_beta 103.52
_cell_angle_gamma 103.52
_symmetry_space_group_name_H-M 'P 1'
_symmetry_Int_Tables_number 1
_symmetry_space_group_name_Hall 'P 1'
loop_
_atom_site_label
_atom_site_type_symbol
_atom_site_fract_x
_atom_site_fract_y
_atom_site_fract_z
Ac1 Ac 0.000 0.000 0.000
Co1 Co 0.000 0.553 0.447
Co2 Co 0.447 0.000 0.553
Co3 Co 0.553 0.447 0.000
B1 B 0.058 0.500 0.942
B2 B 0.500 0.500 0.500
B3 B 0.500 0.942 0.058
B4 B 0.942 0.058 0.500
O1 O 0.026 0.615 0.778
O2 O 0.086 0.914 0.500
O3 O 0.222 0.385 0.974
O4 O 0.356 0.644 0.500
O5 O 0.385 0.974 0.222
O6 O 0.500 0.086 0.914
O7 O 0.500 0.356 0.644
O8 O 0.615 0.778 0.026
O9 O 0.644 0.500 0.356
O10 O 0.778 0.026 0.615
O11 O 0.914 0.500 0.086
O12 O 0.974 0.222 0.385
# Electronic total energy ... -144.91 eV/cell
# Space-group type ... R32, No. 155
# Calculated density ... 5.014 g cm⁻³
# M_tot ... 11.99 μB per formula unit

Entry 3:
# AcCoB2O6 | Alexandria via LeMat-Bulk | GGA+U | optimized geometry
data_AcCoB2O6
_chemical_formula_sum 'Ac1 Co1 B2 O6'
_cell_length_a 6.160
_cell_length_b 6.160
_cell_length_c 6.160
_cell_angle_alpha 46.64
_cell_angle_beta 46.64
_cell_angle_gamma 46.64
_symmetry_space_group_name_H-M 'P 1'
_symmetry_Int_Tables_number 1
_symmetry_space_group_name_Hall 'P 1'
loop_
_atom_site_label
_atom_site_type_symbol
_atom_site_fract_x
_atom_site_fract_y
_atom_site_fract_z
Ac1 Ac 0.000 0.000 0.000
Co1 Co 0.500 0.500 0.500
B1 B 0.230 0.230 0.230
B2 B 0.770 0.770 0.770
O1 O 0.073 0.701 0.517
O2 O 0.299 0.483 0.927
O3 O 0.483 0.927 0.299
O4 O 0.517 0.073 0.701
O5 O 0.701 0.517 0.073
O6 O 0.927 0.299 0.483
# Electronic total energy ... -75.64 eV/cell
# N(E_F) ... 0.0 states/eV per cell
# Space-group type ... R-3, No. 148
# Calculated density ... 5.938 g cm⁻³
# M_tot ... 0.00 μB per formula unit

> Among the records above, which one has the lowest M_tot?

AcCoB2O6